# 1
DFT (PBE) results for a relaxed Be3CuCl crystal.

Values from the calculation:
formation energy (no corrections): 3.78 eV per formula unit
ΔE to the lowest computed polymorph: 0 meV per atom
final energy: -2.668 eV/atom
calculated volume: 15.5 A^3/atom
ρ: 2.7 g cm⁻³
magnetization: 0.0 μB/f.u.

Lattice parameters (Å, degrees): 4.2631 4.2631 4.2631 90.00 90.00 90.00
With the nearest neighbours (Å) after each atom.
Space group Pm-3m (No. 221)
One atom of each set of equivalent atoms:
Be (0.0000, 0.0000, 0.5000) (multiplicity 3)  2 Cu 2.13
Cu (0.0000, 0.0000, 0.0000) (multiplicity 1)  6 Be 2.13
Cl (0.5000, 0.5000, 0.5000) (multiplicity 1)  12 Be 3.01

---

# 2
DFT (PBE) results for a relaxed SbPIr2 crystal.

Values from the calculation:
formation energy (no corrections): -0.48 eV per formula unit
ΔE to the lowest computed polymorph: 154 meV per atom
final energy: -6.933 eV/atom
calculated volume: 17.6 A^3/atom
ρ: 12.6 g cm⁻³
magnetization: 0.0 μB/f.u.

Lattice parameters (Å, degrees): 3.7513 3.7513 17.3586 90.00 90.00 120.00
With the nearest neighbours (Å) after each atom.
Space group R-3m (No. 166, hexagonal axes)
One atom of each set of equivalent atoms:
Sb (0.0000, 0.0000, 0.0000) (multiplicity 3)  6 Ir 2.91
P (0.0000, 0.0000, 0.5000) (multiplicity 3)  6 Ir 2.36
Ir (0.0000, 0.0000, 0.2210) (multiplicity 6)  3 P 2.36